1.
Material: LiCe2Tc
Method: DFT, PBE-GGA
State: relaxed

a = 3.3563 Å, b = 3.3563 Å, c = 8.5424 Å
α = 90.00°, β = 90.00°, γ = 90.00°
Space group P4/mmm (No. 123)
Asymmetric unit:
Li 0.0000 0.0000 0.0000 (multiplicity 1)
Ce 0.5000 0.5000 0.2968 (multiplicity 2)
Tc 0.0000 0.0000 0.5000 (multiplicity 1)

Output
For the formation energy from the elements, the calculation gives 0.04 eV/atom. The total DFT energy (no corrections) comes out at -24.00 eV/cell.


2.
Material: LiCeThTc
Method: DFT, PBE-GGA
State: relaxed

a = 7.1255 Å, b = 7.1255 Å, c = 7.1255 Å
α = 90.00°, β = 90.00°, γ = 90.00°
Space group F-43m (No. 216)
Asymmetric unit:
Li 0.0000 0.0000 0.0000 (multiplicity 4)
Ce 0.2500 0.2500 0.7500 (multiplicity 4)
Th 0.2500 0.2500 0.2500 (multiplicity 4)
Tc 0.0000 0.0000 0.5000 (multiplicity 4)

Output
For the formation energy from the elements, the calculation gives 0.04 eV/atom. The total DFT energy (no corrections) comes out at -101.86 eV/cell.


3.
Material: LiCeTiTc
Method: DFT, PBE-GGA
State: relaxed

a = 6.6084 Å, b = 6.6084 Å, c = 6.6084 Å
α = 90.00°, β = 90.00°, γ = 90.00°
Space group F-43m (No. 216)
Asymmetric unit:
Li 0.0000 0.0000 0.0000 (multiplicity 4)
Ce 0.2500 0.2500 0.2500 (multiplicity 4)
Ti 0.2500 0.2500 0.7500 (multiplicity 4)
Tc 0.0000 0.0000 0.5000 (multiplicity 4)

Output
For the formation energy from the elements, the calculation gives 0.03 eV/atom. The total DFT energy (no corrections) comes out at -103.93 eV/cell.